# 1
## AcLa2Ag (PBE-GGA)

Data for crystalline AcLa2Ag at its relaxed geometry.

DFT formation energy ... 0.0395 eV per atom
DOS at the Fermi energy ... 1.35 states/eV per atom
Distance to the lowest polymorph of the same formula ... 60 kJ/mol of formula units

CIF file:
```
data_AcLa2Ag
_space_group_name_H-M_alt 'P 4/m m m'
_space_group_IT_number 123
_space_group_name_Hall '-P 4 2'
_cell_length_a 5.920
_cell_length_b 5.920
_cell_length_c 3.825
_cell_angle_alpha 90.00
_cell_angle_beta 90.00
_cell_angle_gamma 90.00
loop_
_atom_site_label
_atom_site_fract_x
_atom_site_fract_y
_atom_site_fract_z
Ac1 0.000 0.000 0.000
La1 0.000 0.500 0.500
Ag1 0.500 0.500 0.000
```



# 2
## Nd12SmEr2 (PBE-GGA)

Data for crystalline Nd12SmEr2 at its relaxed geometry.

DFT formation energy ... 0.1573 eV per atom
DOS at the Fermi energy ... 1.55 states/eV per atom

CIF file:
```
data_Nd12SmEr2
_space_group_name_H-M_alt 'C m m e'
_space_group_IT_number 67
_space_group_name_Hall '-C 2a 2'
_cell_length_a 7.198
_cell_length_b 11.691
_cell_length_c 25.044
_cell_angle_alpha 90.00
_cell_angle_beta 90.00
_cell_angle_gamma 90.00
loop_
_atom_site_label
_atom_site_fract_x
_atom_site_fract_y
_atom_site_fract_z
Nd1 0.000 0.000 0.074
Nd2 0.000 0.001 0.437
Nd3 0.249 0.250 0.585
Nd4 0.250 0.000 0.198
Nd5 0.250 0.000 0.323
Nd6 0.250 0.250 0.132
Sm1 0.000 0.250 0.000
Er1 0.000 0.250 0.269
Er2 0.000 0.250 0.731
```



# 3
## Ce7Os3 (PBE-GGA)

Data for crystalline Ce7Os3 at its relaxed geometry.

DFT formation energy ... -0.1827 eV per atom
DOS at the Fermi energy ... 2.55 states/eV per atom

CIF file:
```
data_Ce7Os3
_space_group_name_H-M_alt 'P 63 m c'
_space_group_IT_number 186
_space_group_name_Hall 'P 6c -2c'
_cell_length_a 9.7336
_cell_length_b 9.7336
_cell_length_c 6.1064
_cell_angle_alpha 90.00
_cell_angle_beta 90.00
_cell_angle_gamma 120.00
loop_
_atom_site_label
_atom_site_fract_x
_atom_site_fract_y
_atom_site_fract_z
Ce1 0.0734 0.5367 0.0000
Ce2 0.1272 0.2545 0.2773
Ce3 0.3333 0.6667 0.5041
Os1 0.1854 0.3708 0.7426
```



# 4
## AlIn2W (PBE-GGA)

Data for crystalline AlIn2W at its relaxed geometry.

DFT formation energy ... 0.4497 eV per atom
DOS at the Fermi energy ... 0.60 states/eV per atom

CIF file:
```
data_AlIn2W
_space_group_name_H-M_alt 'P 4/m m m'
_space_group_IT_number 123
_space_group_name_Hall '-P 4 2'
_cell_length_a 3.674
_cell_length_b 3.674
_cell_length_c 5.692
_cell_angle_alpha 90.00
_cell_angle_beta 90.00
_cell_angle_gamma 90.00
loop_
_atom_site_label
_atom_site_fract_x
_atom_site_fract_y
_atom_site_fract_z
Al1 0.000 0.000 0.000
In1 0.500 0.500 0.253
W1 0.000 0.000 0.500
```



# 5
## YScPBr2 (PBE-GGA)

Data for crystalline YScPBr2 at its relaxed geometry.

Formation energy without anion corrections ... 166 meV/atom
DOS at the Fermi energy ... 0.97 states/eV per atom

CIF file:
```
data_YScPBr2
_space_group_name_H-M_alt 'P 4/m m m'
_space_group_IT_number 123
_space_group_name_Hall '-P 4 2'
_cell_length_a 5.346
_cell_length_b 5.346
_cell_length_c 5.407
_cell_angle_alpha 90.00
_cell_angle_beta 90.00
_cell_angle_gamma 90.00
loop_
_atom_site_label
_atom_site_fract_x
_atom_site_fract_y
_atom_site_fract_z
Y1 0.000 0.000 0.000
Sc1 0.500 0.500 0.000
P1 0.000 0.000 0.500
Br1 0.000 0.500 0.500
```



# 6
## Tb6Cd2Sn (PBE-GGA)

Data for crystalline Tb6Cd2Sn at its relaxed geometry.

DFT formation energy ... -0.2521 eV per atom
DOS at the Fermi energy ... 1.13 states/eV per atom

CIF file:
```
data_Tb6Cd2Sn
_space_group_name_H-M_alt 'I m m m'
_space_group_IT_number 71
_space_group_name_Hall '-I 2 2'
_cell_length_a 10.034
_cell_length_b 10.083
_cell_length_c 10.424
_cell_angle_alpha 90.00
_cell_angle_beta 90.00
_cell_angle_gamma 90.00
loop_
_atom_site_label
_atom_site_fract_x
_atom_site_fract_y
_atom_site_fract_z
Tb1 0.000 0.175 0.231
Tb2 0.179 0.500 0.235
Tb3 0.201 0.246 0.500
Cd1 0.000 0.362 0.000
Cd2 0.140 0.000 0.000
Sn1 0.000 0.000 0.500
Sn2 0.000 0.500 0.500
```



# 7
## PrTm2Ag6 (PBE-GGA)

Data for crystalline PrTm2Ag6 at its relaxed geometry.

DFT formation energy ... -0.1910 eV per atom
DOS at the Fermi energy ... 0.64 states/eV per atom

CIF file:
```
data_PrTm2Ag6
_space_group_name_H-M_alt 'C 1 2/c 1'
_space_group_IT_number 15
_space_group_name_Hall '-C 2yc'
_cell_length_a 14.151
_cell_length_b 10.948
_cell_length_c 5.311
_cell_angle_alpha 90.00
_cell_angle_beta 100.42
_cell_angle_gamma 90.00
loop_
_atom_site_label
_atom_site_fract_x
_atom_site_fract_y
_atom_site_fract_z
Pr1 0.000 0.125 0.250
Tm1 0.166 0.377 0.089
Ag1 0.055 0.382 0.533
Ag2 0.120 0.135 0.807
Ag3 0.229 0.127 0.356
```



# 8
## La2MgBi2 (PBE-GGA)

Data for crystalline La2MgBi2 at its relaxed geometry.

DFT formation energy ... -0.7400 eV per atom
DOS at the Fermi energy ... 0.16 states/eV per atom
Distance to the lowest polymorph of the same formula ... 0 kJ/mol of formula units

CIF file:
```
data_La2MgBi2
_space_group_name_H-M_alt 'P 4/m b m'
_space_group_IT_number 127
_space_group_name_Hall '-P 4 2ab'
_cell_length_a 8.542
_cell_length_b 8.542
_cell_length_c 4.459
_cell_angle_alpha 90.00
_cell_angle_beta 90.00
_cell_angle_gamma 90.00
loop_
_atom_site_label
_atom_site_fract_x
_atom_site_fract_y
_atom_site_fract_z
La1 0.154 0.346 0.000
Mg1 0.000 0.000 0.500
Bi1 0.154 0.654 0.500
```



# 9
## TaBe17Ru (PBE-GGA)

Data for crystalline TaBe17Ru at its relaxed geometry.

DFT formation energy ... -0.1890 eV per atom
DOS at the Fermi energy ... 0.15 states/eV per atom

CIF file:
```
data_TaBe17Ru
_space_group_name_H-M_alt 'R 3 m'
_space_group_IT_number 160
_space_group_name_Hall 'R 3 -2"'
_cell_length_a 7.2964
_cell_length_b 7.2964
_cell_length_c 10.6336
_cell_angle_alpha 90.00
_cell_angle_beta 90.00
_cell_angle_gamma 120.00
loop_
_atom_site_label
_atom_site_fract_x
_atom_site_fract_y
_atom_site_fract_z
Ta1 0.0000 0.0000 0.0000
Be1 0.0000 0.0000 0.2416
Be2 0.0000 0.0000 0.4422
Be3 0.0048 0.5024 0.1887
Be4 0.0058 0.3030 0.3389
Be5 0.0109 0.5054 0.8356
Be6 0.0135 0.5067 0.4936
Ru1 0.0000 0.0000 0.6741
```



# 10
## NaCeCd6 (PBE-GGA)

Data for crystalline NaCeCd6 at its relaxed geometry.

DFT formation energy ... -0.1185 eV per atom
DOS at the Fermi energy ... 1.32 states/eV per atom

CIF file:
```
data_NaCeCd6
_space_group_name_H-M_alt 'A m m 2'
_space_group_IT_number 38
_space_group_name_Hall 'A 2 -2'
_cell_length_a 5.026
_cell_length_b 6.918
_cell_length_c 11.408
_cell_angle_alpha 90.00
_cell_angle_beta 90.00
_cell_angle_gamma 90.00
loop_
_atom_site_label
_atom_site_fract_x
_atom_site_fract_y
_atom_site_fract_z
Na1 0.000 0.000 0.000
Ce1 0.500 0.000 0.306
Cd1 0.000 0.000 0.485
Cd2 0.000 0.228 0.737
Cd3 0.500 0.000 0.820
Cd4 0.500 0.226 0.568
```



# 11
## LiSmThCd (PBE-GGA)

Data for crystalline LiSmThCd at its relaxed geometry.

DFT formation energy ... 0.0142 eV per atom
DOS at the Fermi energy ... 1.08 states/eV per atom

CIF file:
```
data_LiSmThCd
_space_group_name_H-M_alt 'F -4 3 m'
_space_group_IT_number 216
_space_group_name_Hall 'F -4 2 3'
_cell_length_a 7.577
_cell_length_b 7.577
_cell_length_c 7.577
_cell_angle_alpha 90.00
_cell_angle_beta 90.00
_cell_angle_gamma 90.00
loop_
_atom_site_label
_atom_site_fract_x
_atom_site_fract_y
_atom_site_fract_z
Li1 0.000 0.000 0.000
Sm1 0.250 0.250 0.750
Th1 0.250 0.250 0.250
Cd1 0.000 0.000 0.500
```



# 12
## CoTeOs2 (PBE-GGA)

Data for crystalline CoTeOs2 at its relaxed geometry.

Formation energy without anion corrections ... 627 meV/atom
DOS at the Fermi energy ... 1.10 states/eV per atom

CIF file:
```
data_CoTeOs2
_space_group_name_H-M_alt 'P 4 m m'
_space_group_IT_number 99
_space_group_name_Hall 'P 4 -2'
_cell_length_a 2.921
_cell_length_b 2.921
_cell_length_c 7.329
_cell_angle_alpha 90.00
_cell_angle_beta 90.00
_cell_angle_gamma 90.00
loop_
_atom_site_label
_atom_site_fract_x
_atom_site_fract_y
_atom_site_fract_z
Co1 0.000 0.000 0.000
Te1 0.500 0.500 0.759
Os1 0.000 0.000 0.458
Os2 0.500 0.500 0.236
```



# 13
## YCuPb2 (PBE-GGA)

Data for crystalline YCuPb2 at its relaxed geometry.

DFT formation energy ... -0.0148 eV per atom
DOS at the Fermi energy ... 0.81 states/eV per atom
Distance to the lowest polymorph of the same formula ... 61 kJ/mol of formula units

CIF file:
```
data_YCuPb2
_space_group_name_H-M_alt 'P 4/m m m'
_space_group_IT_number 123
_space_group_name_Hall '-P 4 2'
_cell_length_a 3.724
_cell_length_b 3.724
_cell_length_c 7.132
_cell_angle_alpha 90.00
_cell_angle_beta 90.00
_cell_angle_gamma 90.00
loop_
_atom_site_label
_atom_site_fract_x
_atom_site_fract_y
_atom_site_fract_z
Y1 0.000 0.000 0.000
Cu1 0.000 0.000 0.500
Pb1 0.500 0.500 0.284
```



# 14
## NbInAg2Bi (PBE-GGA)

Data for crystalline NbInAg2Bi at its relaxed geometry.

DFT formation energy ... 1.1768 eV per atom
DOS at the Fermi energy ... 0.85 states/eV per atom

CIF file:
```
data_NbInAg2Bi
_space_group_name_H-M_alt 'P 4/m m m'
_space_group_IT_number 123
_space_group_name_Hall '-P 4 2'
_cell_length_a 5.067
_cell_length_b 5.067
_cell_length_c 5.721
_cell_angle_alpha 90.00
_cell_angle_beta 90.00
_cell_angle_gamma 90.00
loop_
_atom_site_label
_atom_site_fract_x
_atom_site_fract_y
_atom_site_fract_z
Nb1 0.000 0.000 0.000
In1 0.500 0.500 0.500
Ag1 0.000 0.500 0.500
Bi1 0.500 0.500 0.000
```



# 15
## Na2TeN2 (PBE-GGA)

Data for crystalline Na2TeN2 at its relaxed geometry.

Formation energy without anion corrections ... -481 meV/atom

CIF file:
```
data_Na2TeN2
_space_group_name_H-M_alt 'C 1 2/m 1'
_space_group_IT_number 12
_space_group_name_Hall '-C 2y'
_cell_length_a 8.678
_cell_length_b 5.044
_cell_length_c 7.700
_cell_angle_alpha 90.00
_cell_angle_beta 91.41
_cell_angle_gamma 90.00
loop_
_atom_site_label
_atom_site_fract_x
_atom_site_fract_y
_atom_site_fract_z
Na1 0.169 0.000 0.135
Te1 0.000 0.500 0.000
N1 0.041 0.000 0.445
```



# 16
## Tb6Cd2Tc (PBE-GGA)

Data for crystalline Tb6Cd2Tc at its relaxed geometry.

DFT formation energy ... -0.1447 eV per atom
DOS at the Fermi energy ... 1.50 states/eV per atom
Distance to the lowest polymorph of the same formula ... 0 kJ/mol of formula units

CIF file:
```
data_Tb6Cd2Tc
_space_group_name_H-M_alt 'A m m 2'
_space_group_IT_number 38
_space_group_name_Hall 'A 2 -2'
_cell_length_a 3.968
_cell_length_b 14.754
_cell_length_c 8.529
_cell_angle_alpha 90.00
_cell_angle_beta 90.00
_cell_angle_gamma 90.00
loop_
_atom_site_label
_atom_site_fract_x
_atom_site_fract_y
_atom_site_fract_z
Tb1 0.000 0.000 0.000
Tb2 0.000 0.120 0.638
Tb3 0.500 0.000 0.367
Tb4 0.500 0.196 0.955
Cd1 0.000 0.167 0.259
Tc1 0.500 0.000 0.760
```